No. 1
A crystal of ErAl2Ni relaxed with PBEsol. Source: the Alexandria database, functional meta-GGA SCAN.

```
ErAl2Ni
1.0
2.0066 -4.9467 0.0000
2.0066 4.9467 0.0000
0.0000 0.0000 6.8138
Er Al Ni
2 4 2
direct
0.0623 0.9377 0.7500
0.9377 0.0623 0.2500
0.3460 0.6540 0.5538
0.3460 0.6540 0.9462
0.6540 0.3460 0.0538
0.6540 0.3460 0.4462
0.2152 0.7848 0.2500
0.7848 0.2152 0.7500
```

SG	Cmcm, No. 63
total magnetization	0.0	μB/f.u.
N(E_F)	4.39	states/eV/cell


No. 2
A crystal of Li2SbP2 relaxed with PBEsol. Source: the Alexandria database, functional meta-GGA SCAN.

```
Li2SbP2
1.0
-1.6419 1.6419 8.1991
1.6419 -1.6419 8.1991
1.6419 1.6419 -8.1991
Li Sb P
2 1 2
direct
0.1203 0.1203 0.0000
0.8797 0.8797 0.0000
0.5000 0.5000 0.0000
0.2500 0.7500 0.5000
0.7500 0.2500 0.5000
```

SG	I4/mmm, No. 139
total magnetization	0.0	μB/f.u.
N(E_F)	1.58	states/eV/cell
formation energy (no corrections)	-0.279	eV per atom


no.,uncorrected energy (eV/atom)
1,-21.2195
2,-12.8469